1) {
  "formula": "LiCrRe2",
  "functional": "PBE",
  "state": "optimized geometry",
  "volume_a3_per_atom": 13.88,
  "m_tot_mub_per_fu": 2.38,
  "dos_ef_per_ev_fu": 2.738,
  "sg": "No. 47",
  "mass_density_g_cm3": 12.90,
  "cell": [[3.039, 0.000, 0.000], [0.000, 4.252, 0.000], [0.000, 0.000, 4.298]],
  "species": ["Li", "Cr", "Re", "Re"],
  "frac_coords": [[0.000, 0.000, 0.000], [0.500, 0.500, 0.000], [0.000, 0.500, 0.500], [0.500, 0.000, 0.500]]
}

2) {
  "formula": "LiCrRe2",
  "functional": "PBE",
  "state": "optimized geometry",
  "volume_a3_per_atom": 13.66,
  "m_tot_mub_per_fu": 0.01,
  "dos_ef_per_ev_fu": 3.007,
  "sg": "No. 71",
  "mass_density_g_cm3": 13.10,
  "cell": [[-1.475, 2.185, 4.241], [1.475, -2.185, 4.241], [1.475, 2.185, -4.241]],
  "species": ["Li", "Cr", "Re", "Re"],
  "frac_coords": [[0.000, 0.000, 0.000], [0.500, 0.500, 0.000], [0.265, 0.765, 0.500], [0.735, 0.235, 0.500]]
}

3) {
  "formula": "LiCrRe2",
  "functional": "PBE",
  "state": "optimized geometry",
  "volume_a3_per_atom": 14.83,
  "m_tot_mub_per_fu": 0.00,
  "dos_ef_per_ev_fu": 3.629,
  "sg": "No. 122",
  "mass_density_g_cm3": 12.07,
  "cell": [[-3.402, 3.402, 2.564], [3.402, -3.402, 2.564], [3.402, 3.402, -2.564]],
  "species": ["Li", "Li", "Cr", "Cr", "Re", "Re", "Re", "Re"],
  "frac_coords": [[0.000, 0.000, 0.000], [0.750, 0.250, 0.500], [0.250, 0.750, 0.500], [0.500, 0.500, 0.000], [0.157, 0.125, 0.532], [0.375, 0.843, 0.968], [0.593, 0.625, 0.468], [0.875, 0.407, 0.032]]
}

Among the structures shown above, 2) is the most stable, with the second-best lying 88 meV/atom higher.